# GGA-PBE CoReMo2, relaxed
data_CoReMo2
_cell_length_a 9.029
_cell_length_b 2.718
_cell_length_c 4.759
_cell_angle_alpha 90.00
_cell_angle_beta 99.95
_cell_angle_gamma 90.00
_space_group_name_H-M_alt 'C 1 2/m 1'
_space_group_IT_number 12
_space_group_name_Hall '-C 2y'
loop_
_atom_site_label
_atom_site_fract_x
_atom_site_fract_y
_atom_site_fract_z
Co1 0.000 0.000 0.000
Re1 0.000 0.500 0.500
Mo1 0.241 0.500 0.239
# D(E_F)	3.16	states/eV/f.u.
# formation energy	0.19	eV per atom
# offset from the most stable computed form	0.091	eV/atom

=====

# GGA-PBE CoReMo2, relaxed
data_CoReMo2
_cell_length_a 2.7370
_cell_length_b 2.7370
_cell_length_c 26.8926
_cell_angle_alpha 90.00
_cell_angle_beta 90.00
_cell_angle_gamma 120.00
_space_group_name_H-M_alt 'R -3 m'
_space_group_IT_number 166
_space_group_name_Hall '-R 3 2"'
loop_
_atom_site_label
_atom_site_fract_x
_atom_site_fract_y
_atom_site_fract_z
Co1 0.0000 0.0000 0.0000
Re1 0.0000 0.0000 0.5000
Mo1 0.0000 0.0000 0.2539
# D(E_F)	5.40	states/eV/f.u.
# formation energy	0.26	eV per atom
# offset from the most stable computed form	0.165	eV/atom

=====

# GGA-PBE CoReMo2, relaxed
data_CoReMo2
_cell_length_a 3.897
_cell_length_b 3.897
_cell_length_c 7.581
_cell_angle_alpha 90.00
_cell_angle_beta 90.00
_cell_angle_gamma 90.00
_space_group_name_H-M_alt 'I 4/m m m'
_space_group_IT_number 139
_space_group_name_Hall '-I 4 2'
loop_
_atom_site_label
_atom_site_fract_x
_atom_site_fract_y
_atom_site_fract_z
Co1 0.000 0.000 0.000
Re1 0.000 0.000 0.500
Mo1 0.000 0.500 0.250
# D(E_F)	5.04	states/eV/f.u.
# formation energy	0.13	eV per atom
# offset from the most stable computed form	0.031	eV/atom

=====

# GGA-PBE CoReMo2, relaxed
data_CoReMo2
_cell_length_a 6.160
_cell_length_b 6.160
_cell_length_c 6.160
_cell_angle_alpha 90.00
_cell_angle_beta 90.00
_cell_angle_gamma 90.00
_space_group_name_H-M_alt 'F -4 3 m'
_space_group_IT_number 216
_space_group_name_Hall 'F -4 2 3'
loop_
_atom_site_label
_atom_site_fract_x
_atom_site_fract_y
_atom_site_fract_z
Co1 0.000 0.000 0.000
Re1 0.250 0.250 0.750
Mo1 0.000 0.000 0.500
Mo2 0.250 0.250 0.250
# D(E_F)	5.06	states/eV/f.u.
# formation energy	0.22	eV per atom
# offset from the most stable computed form	0.118	eV/atom

=====

# GGA-PBE CoReMo3, relaxed
data_CoReMo3
_cell_length_a 4.386
_cell_length_b 4.386
_cell_length_c 4.386
_cell_angle_alpha 90.00
_cell_angle_beta 90.00
_cell_angle_gamma 90.00
_space_group_name_H-M_alt 'P m -3 m'
_space_group_IT_number 221
_space_group_name_Hall '-P 4 2 3'
loop_
_atom_site_label
_atom_site_fract_x
_atom_site_fract_y
_atom_site_fract_z
Co1 0.000 0.000 0.000
Re1 0.500 0.500 0.500
Mo1 0.000 0.000 0.500
# D(E_F)	7.94	states/eV/f.u.
# formation energy	1.36	eV per atom
# offset from the most stable computed form	0.000	eV/atom

=====

# GGA-PBE CoRe2Mo2, relaxed
data_CoRe2Mo2
_cell_length_a 7.288
_cell_length_b 7.288
_cell_length_c 2.981
_cell_angle_alpha 90.00
_cell_angle_beta 90.00
_cell_angle_gamma 90.00
_space_group_name_H-M_alt 'P 4/m b m'
_space_group_IT_number 127
_space_group_name_Hall '-P 4 2ab'
loop_
_atom_site_label
_atom_site_fract_x
_atom_site_fract_y
_atom_site_fract_z
Co1 0.000 0.000 0.000
Re1 0.141 0.359 0.000
Mo1 0.161 0.661 0.500
# D(E_F)	6.93	states/eV/f.u.
# formation energy	0.57	eV per atom
# offset from the most stable computed form	0.000	eV/atom

=====

# GGA-PBE CoReMo2, relaxed
data_CoReMo2
_cell_length_a 2.638
_cell_length_b 3.900
_cell_length_c 5.648
_cell_angle_alpha 90.00
_cell_angle_beta 90.00
_cell_angle_gamma 90.00
_space_group_name_H-M_alt 'P m m 2'
_space_group_IT_number 25
_space_group_name_Hall 'P 2 -2'
loop_
_atom_site_label
_atom_site_fract_x
_atom_site_fract_y
_atom_site_fract_z
Co1 0.000 0.000 0.000
Re1 0.500 0.500 0.778
Mo1 0.000 0.000 0.513
Mo2 0.500 0.500 0.234
# D(E_F)	4.03	states/eV/f.u.
# formation energy	0.21	eV per atom
# offset from the most stable computed form	0.109	eV/atom

=====

# GGA-PBE CoRe2Mo2, relaxed
data_CoRe2Mo2
_cell_length_a 3.515
_cell_length_b 3.515
_cell_length_c 13.485
_cell_angle_alpha 90.00
_cell_angle_beta 90.00
_cell_angle_gamma 90.00
_space_group_name_H-M_alt 'I 4/m m m'
_space_group_IT_number 139
_space_group_name_Hall '-I 4 2'
loop_
_atom_site_label
_atom_site_fract_x
_atom_site_fract_y
_atom_site_fract_z
Co1 0.000 0.000 0.000
Re1 0.000 0.500 0.250
Mo1 0.000 0.000 0.410
# D(E_F)	6.67	states/eV/f.u.
# formation energy	0.92	eV per atom
# offset from the most stable computed form	0.357	eV/atom

=====

# GGA-PBE CoReMo2, relaxed
data_CoReMo2
_cell_length_a 9.044
_cell_length_b 2.720
_cell_length_c 4.760
_cell_angle_alpha 90.00
_cell_angle_beta 99.84
_cell_angle_gamma 90.00
_space_group_name_H-M_alt 'C 1 m 1'
_space_group_IT_number 8
_space_group_name_Hall 'C -2y'
loop_
_atom_site_label
_atom_site_fract_x
_atom_site_fract_y
_atom_site_fract_z
Co1 0.000 0.000 0.000
Re1 0.269 0.000 0.763
Mo1 0.006 0.500 0.508
Mo2 0.240 0.500 0.234
# D(E_F)	2.91	states/eV/f.u.
# formation energy	0.15	eV per atom
# offset from the most stable computed form	0.055	eV/atom

=====

# GGA-PBE CoReMo2, relaxed
data_CoReMo2
_cell_length_a 3.313
_cell_length_b 4.172
_cell_length_c 8.311
_cell_angle_alpha 90.00
_cell_angle_beta 90.00
_cell_angle_gamma 90.00
_space_group_name_H-M_alt 'C m m 2'
_space_group_IT_number 35
_space_group_name_Hall 'C 2 -2'
loop_
_atom_site_label
_atom_site_fract_x
_atom_site_fract_y
_atom_site_fract_z
Co1 0.000 0.000 0.000
Re1 0.000 0.500 0.219
Mo1 0.000 0.000 0.489
Mo2 0.000 0.500 0.764
# D(E_F)	3.17	states/eV/f.u.
# formation energy	0.10	eV per atom
# offset from the most stable computed form	0.000	eV/atom

=====

# GGA-PBE CoReMo2, relaxed
data_CoReMo2
_cell_length_a 3.289
_cell_length_b 4.228
_cell_length_c 8.242
_cell_angle_alpha 90.00
_cell_angle_beta 90.00
_cell_angle_gamma 90.00
_space_group_name_H-M_alt 'C m m m'
_space_group_IT_number 65
_space_group_name_Hall '-C 2 2'
loop_
_atom_site_label
_atom_site_fract_x
_atom_site_fract_y
_atom_site_fract_z
Co1 0.000 0.000 0.000
Re1 0.000 0.000 0.500
Mo1 0.000 0.500 0.230
# D(E_F)	3.29	states/eV/f.u.
# formation energy	0.11	eV per atom
# offset from the most stable computed form	0.015	eV/atom

=====

# GGA-PBE CoRe4Mo, relaxed
data_CoRe4Mo
_cell_length_a 7.226
_cell_length_b 7.226
_cell_length_c 7.226
_cell_angle_alpha 90.00
_cell_angle_beta 90.00
_cell_angle_gamma 90.00
_space_group_name_H-M_alt 'F -4 3 m'
_space_group_IT_number 216
_space_group_name_Hall 'F -4 2 3'
loop_
_atom_site_label
_atom_site_fract_x
_atom_site_fract_y
_atom_site_fract_z
Co1 0.000 0.000 0.000
Re1 0.126 0.126 0.374
Mo1 0.250 0.250 0.750
# D(E_F)	4.52	states/eV/f.u.
# formation energy	0.40	eV per atom

=====

# GGA-PBE Co2ReMoS, relaxed
data_Co2ReMoS
_cell_length_a 4.399
_cell_length_b 4.399
_cell_length_c 4.445
_cell_angle_alpha 90.00
_cell_angle_beta 90.00
_cell_angle_gamma 90.00
_space_group_name_H-M_alt 'P 4/m m m'
_space_group_IT_number 123
_space_group_name_Hall '-P 4 2'
loop_
_atom_site_label
_atom_site_fract_x
_atom_site_fract_y
_atom_site_fract_z
Co1 0.000 0.500 0.000
Re1 0.000 0.000 0.500
Mo1 0.500 0.500 0.000
S1 0.500 0.500 0.500
# formation energy from raw total energies	1.662	eV/atom
# D(E_F)	7.20	states/eV/f.u.

=====

# GGA-PBE CoRe2Mo2S8, relaxed
data_CoRe2Mo2S8
_cell_length_a 6.799
_cell_length_b 6.866
_cell_length_c 9.670
_cell_angle_alpha 90.00
_cell_angle_beta 90.00
_cell_angle_gamma 90.00
_space_group_name_H-M_alt 'I m m 2'
_space_group_IT_number 44
_space_group_name_Hall 'I 2 -2'
loop_
_atom_site_label
_atom_site_fract_x
_atom_site_fract_y
_atom_site_fract_z
Co1 0.000 0.000 0.000
Re1 0.207 0.000 0.605
Mo1 0.000 0.206 0.399
S1 0.000 0.268 0.637
S2 0.000 0.273 0.133
S3 0.228 0.500 0.867
S4 0.234 0.500 0.364
# formation energy from raw total energies	-0.596	eV/atom
# D(E_F)	0.34	states/eV/f.u.

=====

# GGA-PBE CoReSiMo2, relaxed
data_CoReSiMo2
_cell_length_a 4.425
_cell_length_b 4.425
_cell_length_c 4.368
_cell_angle_alpha 90.00
_cell_angle_beta 90.00
_cell_angle_gamma 90.00
_space_group_name_H-M_alt 'P 4/m m m'
_space_group_IT_number 123
_space_group_name_Hall '-P 4 2'
loop_
_atom_site_label
_atom_site_fract_x
_atom_site_fract_y
_atom_site_fract_z
Co1 0.000 0.000 0.000
Re1 0.500 0.500 0.000
Si1 0.500 0.500 0.500
Mo1 0.000 0.500 0.500
# formation energy from raw total energies	1.378	eV/atom
# D(E_F)	5.42	states/eV/f.u.

=====

# GGA-PBE Ta2CoReMo, relaxed
data_Ta2CoReMo
_cell_length_a 4.748
_cell_length_b 4.748
_cell_length_c 4.658
_cell_angle_alpha 90.00
_cell_angle_beta 90.00
_cell_angle_gamma 90.00
_space_group_name_H-M_alt 'P 4/m m m'
_space_group_IT_number 123
_space_group_name_Hall '-P 4 2'
loop_
_atom_site_label
_atom_site_fract_x
_atom_site_fract_y
_atom_site_fract_z
Ta1 0.000 0.500 0.000
Co1 0.000 0.000 0.500
Re1 0.500 0.500 0.500
Mo1 0.500 0.500 0.000
# D(E_F)	9.22	states/eV/f.u.
# formation energy	1.99	eV per atom

=====

# GGA-PBE VCoReMo, relaxed
data_VCoReMo
_cell_length_a 6.074
_cell_length_b 6.074
_cell_length_c 6.074
_cell_angle_alpha 90.00
_cell_angle_beta 90.00
_cell_angle_gamma 90.00
_space_group_name_H-M_alt 'F -4 3 m'
_space_group_IT_number 216
_space_group_name_Hall 'F -4 2 3'
loop_
_atom_site_label
_atom_site_fract_x
_atom_site_fract_y
_atom_site_fract_z
V1 0.000 0.000 0.000
Co1 0.250 0.250 0.250
Re1 0.250 0.250 0.750
Mo1 0.000 0.000 0.500
# D(E_F)	3.93	states/eV/f.u.
# formation energy	0.00	eV per atom

=====

# GGA-PBE CoMo2Rh, relaxed
data_CoMo2Rh
_cell_length_a 2.7299
_cell_length_b 2.7299
_cell_length_c 26.7034
_cell_angle_alpha 90.00
_cell_angle_beta 90.00
_cell_angle_gamma 120.00
_space_group_name_H-M_alt 'R 3 m'
_space_group_IT_number 160
_space_group_name_Hall 'R 3 -2"'
loop_
_atom_site_label
_atom_site_fract_x
_atom_site_fract_y
_atom_site_fract_z
Co1 0.0000 0.0000 0.0000
Mo1 0.0000 0.0000 0.5045
Mo2 0.0000 0.0000 0.7436
Rh1 0.0000 0.0000 0.2523
# D(E_F)	3.85	states/eV/f.u.
# formation energy	0.15	eV per atom
# offset from the most stable computed form	0.211	eV/atom

=====

# GGA-PBE CoMo2Rh2, relaxed
data_CoMo2Rh2
_cell_length_a 7.369
_cell_length_b 7.369
_cell_length_c 2.798
_cell_angle_alpha 90.00
_cell_angle_beta 90.00
_cell_angle_gamma 90.00
_space_group_name_H-M_alt 'P 4/m b m'
_space_group_IT_number 127
_space_group_name_Hall '-P 4 2ab'
loop_
_atom_site_label
_atom_site_fract_x
_atom_site_fract_y
_atom_site_fract_z
Co1 0.000 0.000 0.000
Mo1 0.172 0.328 0.500
Rh1 0.127 0.627 0.000
# D(E_F)	6.05	states/eV/f.u.
# formation energy	0.28	eV per atom

=====

# GGA-PBE CoMo2Rh, relaxed
data_CoMo2Rh
_cell_length_a 3.815
_cell_length_b 3.815
_cell_length_c 3.841
_cell_angle_alpha 90.00
_cell_angle_beta 90.00
_cell_angle_gamma 90.00
_space_group_name_H-M_alt 'P 4/m m m'
_space_group_IT_number 123
_space_group_name_Hall '-P 4 2'
loop_
_atom_site_label
_atom_site_fract_x
_atom_site_fract_y
_atom_site_fract_z
Co1 0.000 0.000 0.000
Mo1 0.000 0.500 0.500
Rh1 0.500 0.500 0.000
# D(E_F)	2.13	states/eV/f.u.
# formation energy	-0.06	eV per atom
# offset from the most stable computed form	0.002	eV/atom

=====

| no. | magnetic moment (μB per cell) |
| --- | --- |
| 1 | 0.00 |
| 2 | 2.94 |
| 3 | 1.33 |
| 4 | 10.41 |
| 5 | 0.00 |
| 6 | 0.00 |
| 7 | 0.00 |
| 8 | 3.83 |
| 9 | 0.00 |
| 10 | 0.01 |
| 11 | 0.00 |
| 12 | 4.13 |
| 13 | 3.88 |
| 14 | 5.94 |
| 15 | 0.00 |
| 16 | 0.02 |
| 17 | 9.26 |
| 18 | 2.29 |
| 19 | 0.00 |
| 20 | 0.00 |